Entry 1:
DFT (PBE-GGA) results for MnTe2H after structural relaxation.

Properties
DOS(E_F)	5.46	states/eV/cell
calculated volume	64.0	Å³ per cell

abc: 4.4890 4.4890 4.4890
angles: 60.00 60.00 60.00
Closest atoms and distances in Å follow each position.
Atoms (fractional coordinates):
1 Mn 0.5000 0.5000 0.5000  8 Te 2.75
2 Te 0.7500 0.7500 0.7500  4 Mn 2.75, 4 H 2.75
3 Te 0.2500 0.2500 0.2500  4 H 2.75, 4 Mn 2.75
4 H 0.0000 0.0000 0.0000  8 Te 2.75



Entry 2:
DFT (PBE-GGA) results for Mn2TeH after structural relaxation.

Properties
DOS(E_F)	8.55	states/eV/cell
calculated volume	49.7	Å³ per cell

abc: 4.1270 4.1270 4.1270
angles: 60.00 60.00 60.00
Closest atoms and distances in Å follow each position.
Atoms (fractional coordinates):
1 Te 0.5000 0.5000 0.5000  8 Mn 2.53
2 H 0.0000 0.0000 0.0000  8 Mn 2.53
3 Mn 0.2500 0.2500 0.2500  4 Te 2.53, 4 H 2.53
4 Mn 0.7500 0.7500 0.7500  4 Te 2.53, 4 H 2.53



Entry 3:
DFT (PBE-GGA) results for MnTe2H after structural relaxation.

Properties
DOS(E_F)	1.89	states/eV/cell
calculated volume	99.7	Å³ per cell

abc: 7.2413 7.2413 7.2413
angles: 32.90 32.90 32.90
Closest atoms and distances in Å follow each position.
Atoms (fractional coordinates):
1 Te 0.9040 0.9040 0.9040  1 H 1.97
2 Te 0.0960 0.0960 0.0960  1 H 1.97
3 H 0.0000 0.0000 0.0000  2 Te 1.97
4 Mn 0.5000 0.5000 0.5000  6 Te 2.78



Entry 4:
DFT (PBE-GGA) results for MnTeH3 after structural relaxation.

Properties
DOS(E_F)	1.53	states/eV/cell
calculated volume	68.9	Å³ per cell

abc: 4.0987 4.0987 4.0987
angles: 90.00 90.00 90.00
Closest atoms and distances in Å follow each position.
Atoms (fractional coordinates):
1 Te 0.0000 0.0000 0.0000  6 H 2.05
2 H 0.5000 0.0000 0.0000  2 Te 2.05
3 H 0.0000 0.0000 0.5000  2 Te 2.05
4 H 0.0000 0.5000 0.0000  2 Te 2.05
5 Mn 0.5000 0.5000 0.5000  12 H 2.90



| no. | theoretical density (Mg/m³) | energy above the lowest structure with this stoichiometry (meV/atom) | size of the total moment (μB/f.u.) |
| --- | --- | --- | --- |
| 1 | 8.08 | 569.6 | 0.0 |
| 2 | 7.97 | 501.8 | 0.0 |
| 3 | 5.18 | 0.0 | 3.9 |
| 4 | 4.47 | 409.2 | 5.0 |